Entry 1:
A plane-wave DFT calculation with PBE was carried out for a relaxed BaHf2ScN crystal.

a b c (Å): 5.660 4.297 5.660
angles (deg): 90.00 90.00 90.00
Last column: magnetic moment on the atom in μB.
Element x y z (fractional)
Sc: 0.500 0.500 0.500  0.26
Hf: 0.000 0.000 0.500  0.22
Hf: 0.500 0.000 0.000  0.29
Ba: 0.000 0.000 0.000  0.02
N: 0.000 0.500 0.000  0.00

Energy relative to the elements, uncorrected   195.4 kJ/mol of atoms
SG   P4/mmm
Total magnetic moment   1.29 μB/f.u.
Energy   -5.272 eV/atom



Entry 2:
A plane-wave DFT calculation with PBE was carried out for a relaxed LiBiP2S crystal.

a b c (Å): 4.435 4.435 4.812
angles (deg): 90.00 90.00 90.00
Element x y z (fractional)
P: 0.000 0.500 0.000
P: 0.500 0.000 0.000
S: 0.000 0.000 0.500
Bi: 0.500 0.500 0.500
Li: 0.000 0.000 0.000

Polymorph energy (0 for the lowest one)   0.00 eV per formula unit
Energy relative to the elements, uncorrected   51.5 kJ/mol of atoms
SG   P4/mmm
Total magnetic moment   0.00 μB/f.u.
Energy   -3.615 eV/atom



Entry 3:
A plane-wave DFT calculation with PBE was carried out for a relaxed HfIrRu2 crystal.

a b c (Å): 4.468 4.468 4.468
angles (deg): 60.00 60.00 60.00
Element x y z (fractional)
Ru: 0.250 0.250 0.250
Ru: 0.750 0.750 0.750
Ir: 0.500 0.500 0.500
Hf: 0.000 0.000 0.000

Polymorph energy (0 for the lowest one)   1.42 eV per formula unit
SG   Fm-3m
Total magnetic moment   0.00 μB/f.u.
ΔH_f (0 K)   -71 meV per atom
Energy   -9.412 eV/atom



Entry 4:
A plane-wave DFT calculation with PBE was carried out for a relaxed CsTlCl2 crystal.

a b c (Å): 4.043 4.043 8.099
angles (deg): 90.00 90.00 90.00
Element x y z (fractional)
Cs: 0.500 0.500 0.500
Tl: 0.500 0.500 0.000
Cl: 0.000 0.000 0.764
Cl: 0.000 0.000 0.236

Polymorph energy (0 for the lowest one)   0.22 eV per formula unit
Energy relative to the elements, uncorrected   -138.0 kJ/mol of atoms
SG   P4/mmm
Total magnetic moment   0.00 μB/f.u.
Energy   -3.159 eV/atom